# V2Co3H4 (PBE, optimized geometry)
data_V2Co3H4
_space_group_name_H-M_alt 'P -3 m 1'
_space_group_IT_number 164
_space_group_name_Hall '-P 3 2"'
_cell_length_a 2.6602
_cell_length_b 2.6602
_cell_length_c 10.7417
_cell_angle_alpha 90.00
_cell_angle_beta 90.00
_cell_angle_gamma 120.00
loop_
_atom_site_label
_atom_site_fract_x
_atom_site_fract_y
_atom_site_fract_z
V1 0.3333 0.6667 0.2050
Co1 0.0000 0.0000 0.0000
Co2 0.3333 0.6667 0.5914
H1 0.0000 0.0000 0.3155
H2 0.3333 0.6667 0.9068
# Uncorrected energy: -5.988 eV/atom
# Magnetic moment: 0.260 μB/atom